# Sr2AlZn5 PBE relaxed
# DOS(E_F) = 16.8 states/eV/cell
# magnetic moment = 0.000 μB/f.u.
# crystal system = orthorhombic
# calculated density = 4.9 g/cm³
# ΔH_f (0 K) = -1.63 eV/f.u.
data_Sr2AlZn5
_chemical_formula_sum 'Sr8 Al4 Zn20'
_space_group_name_H-M_alt 'C m c m'
_space_group_IT_number 63
_space_group_name_Hall '-C 2c 2'
_cell_length_a 4.6210
_cell_length_b 16.8989
_cell_length_c 9.2228
_cell_angle_alpha 90.00
_cell_angle_beta 90.00
_cell_angle_gamma 90.00
loop_
_atom_site_label
_atom_site_type_symbol
_atom_site_fract_x
_atom_site_fract_y
_atom_site_fract_z
Sr1 Sr 0.0000 0.0000 0.0000
Sr2 Sr 0.0000 0.2072 0.2500
Al1 Al 0.0000 0.4382 0.7500
Zn1 Zn 0.0000 0.1835 0.6089
Zn2 Zn 0.0000 0.3492 0.5161
Zn3 Zn 0.0000 0.4055 0.2500